Entry 1:
! PBE-GGA AcDyTm4S8, optimized geometry; values from VASP
&SYSTEM
  ibrav = 0, nat = 14, ntyp = 4
/
ATOMIC_SPECIES
Tm 168.93 Tm.upf
Ac 227.00 Ac.upf
S 32.06 S.upf
Dy 162.50 Dy.upf
ATOMIC_POSITIONS crystal
Tm 0.998 0.507 0.497
Tm 0.998 0.998 0.497
Tm 0.626 0.626 0.123
Tm 0.507 0.998 0.497
Ac 0.374 0.374 0.877
S 0.233 0.233 0.300
S 0.753 0.233 0.260
S 0.798 0.236 0.730
S 0.753 0.753 0.260
S 0.236 0.798 0.730
S 0.233 0.753 0.260
S 0.757 0.757 0.730
S 0.236 0.236 0.730
Dy 0.998 0.998 0.007
CELL_PARAMETERS angstrom
8.076 0.000 0.000
4.038 6.994 0.000
4.038 2.331 6.628
! formation energy from raw total energies: -1.911 eV/atom
! spin magnetization: 0.000 μB/atom



Entry 2:
! PBE-GGA Eu2P3Pt4, optimized geometry; values from VASP
&SYSTEM
  ibrav = 0, nat = 9, ntyp = 3
/
ATOMIC_SPECIES
Eu 151.96 Eu.upf
Pt 195.08 Pt.upf
P 30.97 P.upf
ATOMIC_POSITIONS crystal
Eu 0.129 0.129 0.000
Eu 0.871 0.871 0.000
Pt 0.500 0.000 0.500
Pt 0.305 0.305 0.000
Pt 0.695 0.695 0.000
Pt 0.000 0.500 0.500
P 0.574 0.574 0.000
P 0.426 0.426 0.000
P 0.250 0.750 0.500
CELL_PARAMETERS angstrom
-9.828 -0.789 -2.118
-6.886 -2.057 -7.074
8.421 -1.425 5.363
! E: -0.5719 Ry/atom
! spin magnetization: 1.501 μB/atom



Entry 3:
! PBE-GGA RbHgAsPb2, optimized geometry; values from VASP
&SYSTEM
  ibrav = 0, nat = 10, ntyp = 4
/
ATOMIC_SPECIES
As 74.92 As.upf
Pb 207.20 Pb.upf
Rb 85.47 Rb.upf
Hg 200.59 Hg.upf
ATOMIC_POSITIONS crystal
As 0.250 0.307 0.088
As 0.750 0.693 0.912
Pb 0.250 0.443 0.844
Pb 0.750 0.557 0.156
Pb 0.750 0.542 0.631
Pb 0.250 0.458 0.369
Rb 0.250 0.942 0.174
Rb 0.750 0.058 0.826
Hg 0.750 0.837 0.484
Hg 0.250 0.163 0.516
CELL_PARAMETERS angstrom
4.173 0.000 0.000
0.000 8.054 -0.373
0.000 -3.495 10.695
! E: -0.2045 Ry/atom
! spin magnetization: 0.000 μB/atom



Entry 4:
! PBE-GGA La12Nd3Dy, optimized geometry; values from VASP
&SYSTEM
  ibrav = 0, nat = 16, ntyp = 3
/
ATOMIC_SPECIES
La 138.91 La.upf
Nd 144.24 Nd.upf
Dy 162.50 Dy.upf
ATOMIC_POSITIONS crystal
La 0.000 0.500 0.124
La 0.500 0.000 0.124
La 0.000 0.500 0.374
La 0.500 0.000 0.374
La 0.500 0.500 0.751
La 0.500 0.000 0.876
La 0.000 0.500 0.626
La 0.500 0.000 0.626
La 0.000 0.500 0.876
La 0.500 0.500 0.500
La 0.500 0.500 0.000
La 0.500 0.500 0.249
Nd 0.000 0.000 0.500
Nd 0.000 0.000 0.751
Nd 0.000 0.000 0.249
Dy 0.000 0.000 0.000
CELL_PARAMETERS angstrom
5.238 0.000 0.000
0.000 5.238 0.000
0.000 0.000 20.963
! E: -0.3580 Ry/atom
! spin magnetization: 0.000 μB/atom



Entry 5:
! PBE-GGA FeCo2SiH, optimized geometry; values from VASP
&SYSTEM
  ibrav = 0, nat = 5, ntyp = 4
/
ATOMIC_SPECIES
Fe 55.84 Fe.upf
Co 58.93 Co.upf
H 1.01 H.upf
Si 28.09 Si.upf
ATOMIC_POSITIONS crystal
Fe 0.000 0.000 0.500
Co 0.000 0.500 0.000
Co 0.500 0.000 0.000
H 0.000 0.000 0.000
Si 0.500 0.500 0.500
CELL_PARAMETERS angstrom
-0.723 -3.333 -0.936
2.712 -1.140 1.963
-2.167 -0.319 2.809
! E: -0.4779 Ry/atom
! spin magnetization: 0.321 μB/atom



Entry 6:
! PBE-GGA La2TbMg, optimized geometry; values from VASP
&SYSTEM
  ibrav = 0, nat = 4, ntyp = 3
/
ATOMIC_SPECIES
La 138.91 La.upf
Mg 24.30 Mg.upf
Tb 158.93 Tb.upf
ATOMIC_POSITIONS crystal
La 0.250 0.250 0.250
La 0.750 0.750 0.750
Mg 0.500 0.500 0.500
Tb 0.000 0.000 0.000
CELL_PARAMETERS angstrom
5.704 0.000 0.000
2.852 4.940 0.000
2.852 1.647 4.657
! spin magnetization: 0.000 μB/atom
! energy above the most stable polymorph in this dataset: 4.6 kJ/mol of atoms



Entry 7:
! PBE-GGA SiPtI2, optimized geometry; values from VASP
&SYSTEM
  ibrav = 0, nat = 4, ntyp = 3
/
ATOMIC_SPECIES
Si 28.09 Si.upf
I 126.90 I.upf
Pt 195.08 Pt.upf
ATOMIC_POSITIONS crystal
Si 0.000 0.000 0.000
I 0.750 0.750 0.750
I 0.250 0.250 0.250
Pt 0.500 0.500 0.500
CELL_PARAMETERS angstrom
0.000 3.605 3.605
3.605 0.000 3.605
3.605 3.605 0.000
! formation energy from raw total energies: 0.761 eV/atom
! spin magnetization: 0.000 μB/atom
! energy above the most stable polymorph in this dataset: 16.2 kJ/mol of atoms



Entry 8:
! PBE-GGA LiTa2Te, optimized geometry; values from VASP
&SYSTEM
  ibrav = 0, nat = 4, ntyp = 3
/
ATOMIC_SPECIES
Te 127.60 Te.upf
Ta 180.95 Ta.upf
Li 6.94 Li.upf
ATOMIC_POSITIONS crystal
Te 0.500 0.250 0.250
Ta 0.000 0.027 0.980
Ta 0.000 0.473 0.520
Li 0.500 0.750 0.750
CELL_PARAMETERS angstrom
4.939 0.000 0.000
0.000 3.029 -0.010
0.000 0.022 5.106
! formation energy from raw total energies: 0.317 eV/atom
! spin magnetization: 0.000 μB/atom



The highest spin magnetization belongs to which entry? Eu2P3Pt4



Look up the spin magnetization of the seventh one. 0.000 μB/atom